*P*
Below is crystalline CrCF3 at its relaxed geometry, with properties calculated at the PBE+U level.

SG = No. 221

Lattice parameters (Å, degrees): 3.8719 3.8719 3.8719 90.00 90.00 90.00
Last column: magnetic moment on the atom in μB.
Sites, in units of the cell vectors:
F 0.0000 0.5000 0.0000  0.02
F 0.0000 0.0000 0.5000  0.01
F 0.5000 0.0000 0.0000  0.01
Cr 0.5000 0.5000 0.5000  4.52
C 0.0000 0.0000 0.0000  0.03

*Q*
Below is crystalline CrCF3 at its relaxed geometry, with properties calculated at the PBE+U level.

SG = No. 221

Lattice parameters (Å, degrees): 3.9781 3.9781 3.9781 90.00 90.00 90.00
Last column: magnetic moment on the atom in μB.
Sites, in units of the cell vectors:
F 0.0000 0.0000 0.5000  -0.03
F 0.5000 0.0000 0.0000  -0.01
F 0.0000 0.5000 0.0000  0.00
C 0.5000 0.5000 0.5000  -0.91
Cr 0.0000 0.0000 0.0000  -3.14

Calculated relative energies: *P* 367; *Q* 0, given in meV/atom